Here is a relaxed Rb2SrIrF6 crystal from the Alexandria database. Energies are from PBE-GGA.

## Properties
The space group is No. 139. The density of states at the Fermi level comes out at 0.000 states/eV per cell. The electronic total energy is -4.759 eV/atom. The calculation puts the raw formation energy at -2.39 eV/atom.

Lattice parameters (Å, degrees): 6.4203 6.4203 6.4203 118.53 118.53 92.57
Positions (direct):
Rb1 0.2500 0.7500 0.5000
Rb2 0.7500 0.2500 0.5000
Sr1 0.0000 0.0000 0.0000
Ir1 0.5000 0.5000 0.0000
F1 0.2552 0.2552 0.5104
F2 0.2552 0.7448 0.0000
F3 0.2681 0.2681 0.0000
F4 0.7319 0.7319 0.0000
F5 0.7448 0.2552 0.0000
F6 0.7448 0.7448 0.4896